## NiH3Se (PBE)

Data for NiH3Se after structural relaxation.

Unit cell a=3.462 b=3.462 c=3.462 alpha=90.00 beta=90.00 gamma=90.00
Space group Pm-3m (No. 221)
Inequivalent atoms, fractional coordinates:
1 Ni 0.000 0.000 0.000 x1
2 H 0.000 0.000 0.500 x3
3 Se 0.500 0.500 0.500 x1

**DOS(E_F)**: 2.32 states/eV per cell
**Distance to the lowest polymorph of the same formula**: 0 meV per atom

## YAg2C2O6 (PBE)

Data for YAg2C2O6 after structural relaxation.

Unit cell a=4.9790 b=4.9790 c=7.7684 alpha=90.00 beta=90.00 gamma=120.00
Space group P-3 (No. 147)
Inequivalent atoms, fractional coordinates:
1 Y 0.0000 0.0000 0.0000 x1
2 Ag 0.3333 0.6667 0.4011 x2
3 C 0.3333 0.6667 0.8251 x2
4 O 0.0784 0.6775 0.8249 x6

**DOS(E_F)**: 1.92 states/eV per cell
**Uncorrected formation energy**: -1.45 eV per atom

## DyPuCdGa (PBE)

Data for DyPuCdGa after structural relaxation.

Unit cell a=7.354 b=7.354 c=7.354 alpha=90.00 beta=90.00 gamma=90.00
Space group F-43m (No. 216)
Inequivalent atoms, fractional coordinates:
1 Dy 0.000 0.000 0.000 x4
2 Pu 0.000 0.000 0.500 x4
3 Cd 0.250 0.250 0.250 x4
4 Ga 0.250 0.250 0.750 x4

**DOS(E_F)**: 30.18 states/eV per cell
**E_form**: -0.248 eV/atom

## CuTeMo2 (PBE)

Data for CuTeMo2 after structural relaxation.

Unit cell a=3.343 b=3.343 c=5.971 alpha=90.00 beta=90.00 gamma=90.00
Space group P4/mmm (No. 123)
Inequivalent atoms, fractional coordinates:
1 Cu 0.000 0.000 0.000 x1
2 Te 0.000 0.000 0.500 x1
3 Mo 0.500 0.500 0.211 x2

**DOS(E_F)**: 3.53 states/eV per cell
**Uncorrected formation energy**: 0.46 eV per atom

## Fe3AsOs (PBE)

Data for Fe3AsOs after structural relaxation.

Unit cell a=4.592 b=4.592 c=4.592 alpha=90.00 beta=90.00 gamma=90.00
Space group Pm-3m (No. 221)
Inequivalent atoms, fractional coordinates:
1 Fe 0.000 0.000 0.500 x3
2 As 0.500 0.500 0.500 x1
3 Os 0.000 0.000 0.000 x1

**DOS(E_F)**: 7.18 states/eV per cell
**Distance to the lowest polymorph of the same formula**: 0 meV per atom
**E_form**: 1.458 eV/atom

## Sm4Er19Th6 (PBE)

Data for Sm4Er19Th6 after structural relaxation.

Unit cell a=12.417 b=12.417 c=12.417 alpha=90.00 beta=90.00 gamma=90.00
Space group I23 (No. 197)
Inequivalent atoms, fractional coordinates:
1 Sm 0.179 0.179 0.821 x8
2 Er 0.000 0.000 0.000 x2
3 Er 0.000 0.000 0.264 x12
4 Er 0.065 0.258 0.276 x24
5 Th 0.000 0.371 0.500 x12

**DOS(E_F)**: 89.33 states/eV per cell
**E_form**: 0.428 eV/atom

## DySn3 (PBE)

Data for DySn3 after structural relaxation.

Unit cell a=4.411 b=4.426 c=22.232 alpha=90.00 beta=90.00 gamma=90.00
Space group Amm2 (No. 38)
Inequivalent atoms, fractional coordinates:
1 Dy 0.000 0.000 0.000 x2
2 Dy 0.500 0.000 0.271 x2
3 Sn 0.000 0.000 0.384 x2
4 Sn 0.000 0.000 0.616 x2
5 Sn 0.000 0.000 0.751 x2
6 Sn 0.500 0.000 0.122 x2
7 Sn 0.500 0.000 0.507 x2
8 Sn 0.500 0.000 0.884 x2

**DOS(E_F)**: 5.45 states/eV per cell
**E_form**: -0.378 eV/atom

## Sr2ScIr2 (PBE)

Data for Sr2ScIr2 after structural relaxation.

Unit cell a=7.126 b=7.126 c=4.914 alpha=90.00 beta=90.00 gamma=90.00
Space group P4/mbm (No. 127)
Inequivalent atoms, fractional coordinates:
1 Sr 0.173 0.327 0.000 x4
2 Sc 0.000 0.000 0.500 x2
3 Ir 0.125 0.625 0.500 x4

**DOS(E_F)**: 10.78 states/eV per cell
**E_form**: -0.269 eV/atom

## Ho3PtRh (PBE)

Data for Ho3PtRh after structural relaxation.

Unit cell a=7.317 b=4.123 c=8.224 alpha=90.00 beta=105.40 gamma=90.00
Space group P2_1/m (No. 11)
Inequivalent atoms, fractional coordinates:
1 Ho 0.089 0.250 0.252 x2
2 Ho 0.311 0.250 0.937 x2
3 Ho 0.355 0.750 0.598 x2
4 Pt 0.364 0.750 0.204 x2
5 Rh 0.085 0.250 0.609 x2

**DOS(E_F)**: 5.49 states/eV per cell
**Distance to the lowest polymorph of the same formula**: 38 meV per atom
**E_form**: -0.890 eV/atom

## DyY2Ho2Er (PBE)

Data for DyY2Ho2Er after structural relaxation.

Unit cell a=6.513 b=17.664 c=3.372 alpha=90.00 beta=90.00 gamma=90.00
Space group Pnnm (No. 58)
Inequivalent atoms, fractional coordinates:
1 Dy 0.000 0.000 0.000 x2
2 Y 0.231 0.316 0.000 x4
3 Ho 0.230 0.146 0.500 x4
4 Er 0.000 0.500 0.000 x2

**DOS(E_F)**: 18.24 states/eV per cell
**E_form**: 0.270 eV/atom

## La2PmNpO8 (PBE)

Data for La2PmNpO8 after structural relaxation.

Unit cell a=4.037 b=7.656 c=5.645 alpha=90.00 beta=94.82 gamma=90.00
Space group P2/m (No. 10)
Inequivalent atoms, fractional coordinates:
1 La 0.000 0.245 0.000 x2
2 Pm 0.500 0.000 0.500 x1
3 Np 0.500 0.500 0.500 x1
4 O 0.002 0.000 0.249 x2
5 O 0.064 0.500 0.289 x2
6 O 0.463 0.284 0.726 x4

**Uncorrected formation energy**: -3.17 eV per atom

## Sm4Ho7Pu (PBE)

Data for Sm4Ho7Pu after structural relaxation.

Unit cell a=16.121 b=5.872 c=9.337 alpha=90.00 beta=118.79 gamma=90.00
Space group C2/m (No. 12)
Inequivalent atoms, fractional coordinates:
1 Sm 0.091 0.000 0.461 x4
2 Sm 0.233 0.000 0.266 x4
3 Ho 0.000 0.000 0.000 x2
4 Ho 0.064 0.500 0.717 x4
5 Ho 0.164 0.500 0.338 x4
6 Ho 0.209 0.000 0.889 x4
7 Pu 0.000 0.500 0.000 x2

**DOS(E_F)**: 41.34 states/eV per cell
**E_form**: 0.250 eV/atom

## KDyGeO4 (PBE)

Data for KDyGeO4 after structural relaxation.

Unit cell a=5.758 b=5.883 c=7.429 alpha=90.00 beta=107.49 gamma=90.00
Space group P2_1/m (No. 11)
Inequivalent atoms, fractional coordinates:
1 K 0.183 0.250 0.429 x2
2 Dy 0.298 0.250 0.961 x2
3 Ge 0.241 0.750 0.163 x2
4 O 0.033 0.750 0.932 x2
5 O 0.046 0.750 0.306 x2
6 O 0.455 0.522 0.180 x4

**DOS(E_F)**: 0.00 states/eV per cell
**Uncorrected formation energy**: -2.39 eV per atom

## Ce6Al2N (PBE)

Data for Ce6Al2N after structural relaxation.

Unit cell a=6.447 b=6.447 c=10.056 alpha=90.00 beta=90.00 gamma=90.00
Space group I4/mmm (No. 139)
Inequivalent atoms, fractional coordinates:
1 Ce 0.000 0.000 0.231 x4
2 Ce 0.226 0.226 0.500 x8
3 Al 0.000 0.500 0.250 x4
4 N 0.000 0.000 0.000 x2

**DOS(E_F)**: 38.45 states/eV per cell
**Uncorrected formation energy**: -0.45 eV per atom

## Rb3Hg2Au2 (PBE)

Data for Rb3Hg2Au2 after structural relaxation.

Unit cell a=12.925 b=4.846 c=9.342 alpha=90.00 beta=112.47 gamma=90.00
Space group C2/m (No. 12)
Inequivalent atoms, fractional coordinates:
1 Rb 0.000 0.000 0.000 x2
2 Rb 0.196 0.000 0.661 x4
3 Hg 0.017 0.500 0.337 x4
4 Au 0.194 0.500 0.930 x4

**DOS(E_F)**: 4.75 states/eV per cell
**Distance to the lowest polymorph of the same formula**: 0 meV per atom
**E_form**: -0.280 eV/atom

## FePbBr2 (PBE)

Data for FePbBr2 after structural relaxation.

Unit cell a=4.937 b=3.599 c=6.740 alpha=90.00 beta=109.03 gamma=90.00
Space group Pm (No. 6)
Inequivalent atoms, fractional coordinates:
1 Fe 0.000 0.000 0.000 x1
2 Pb 0.201 0.500 0.359 x1
3 Br 0.562 0.000 0.121 x1
4 Br 0.885 0.500 0.728 x1

**DOS(E_F)**: 3.43 states/eV per cell
**Distance to the lowest polymorph of the same formula**: 45 meV per atom
**Uncorrected formation energy**: -0.14 eV per atom

## PmGe12Ru4 (PBE)

Data for PmGe12Ru4 after structural relaxation.

Unit cell a=8.699 b=8.699 c=8.699 alpha=90.00 beta=90.00 gamma=90.00
Space group Im-3 (No. 204)
Inequivalent atoms, fractional coordinates:
1 Pm 0.000 0.000 0.000 x2
2 Ge 0.000 0.156 0.343 x24
3 Ru 0.250 0.250 0.250 x8

**DOS(E_F)**: 23.23 states/eV per cell
**E_form**: -0.033 eV/atom

## SrMo3H (PBE)

Data for SrMo3H after structural relaxation.

Unit cell a=4.308 b=4.308 c=4.308 alpha=90.00 beta=90.00 gamma=90.00
Space group Pm-3m (No. 221)
Inequivalent atoms, fractional coordinates:
1 Sr 0.000 0.000 0.000 x1
2 Mo 0.000 0.500 0.500 x3
3 H 0.500 0.500 0.500 x1

**DOS(E_F)**: 7.21 states/eV per cell
**Distance to the lowest polymorph of the same formula**: 0 meV per atom

## Rb5Mg2Tl12 (PBE)

Data for Rb5Mg2Tl12 after structural relaxation.

Unit cell a=20.233 b=8.699 c=7.914 alpha=90.00 beta=93.15 gamma=90.00
Space group C2/m (No. 12)
Inequivalent atoms, fractional coordinates:
1 Rb 0.000 0.000 0.000 x2
2 Rb 0.209 0.500 0.541 x4
3 Rb 0.236 0.000 0.925 x4
4 Mg 0.000 0.302 0.500 x4
5 Tl 0.042 0.500 0.196 x4
6 Tl 0.080 0.000 0.595 x4
7 Tl 0.105 0.313 0.850 x8
8 Tl 0.132 0.194 0.270 x8

**DOS(E_F)**: 19.81 states/eV per cell
**E_form**: -0.031 eV/atom

## IrWCl2 (PBE)

Data for IrWCl2 after structural relaxation.

Unit cell a=3.098 b=3.098 c=6.338 alpha=90.00 beta=90.00 gamma=90.00
Space group P4/mmm (No. 123)
Inequivalent atoms, fractional coordinates:
1 Ir 0.000 0.000 0.000 x1
2 W 0.000 0.000 0.500 x1
3 Cl 0.500 0.500 0.271 x2

**DOS(E_F)**: 2.20 states/eV per cell
**Distance to the lowest polymorph of the same formula**: 1432 meV per atom
**Uncorrected formation energy**: 1.25 eV per atom

## PmScTe2S (PBE)

Data for PmScTe2S after structural relaxation.

Unit cell a=4.333 b=4.333 c=15.177 alpha=90.00 beta=90.00 gamma=90.00
Space group P4/nmm (No. 129, origin choice 2)
Inequivalent atoms, fractional coordinates:
1 Pm 0.250 0.250 0.113 x2
2 Sc 0.250 0.250 0.603 x2
3 Te 0.250 0.250 0.407 x2
4 Te 0.250 0.250 0.787 x2
5 S 0.250 0.750 0.000 x2

**DOS(E_F)**: 3.26 states/eV per cell
**Uncorrected formation energy**: -1.38 eV per atom

## NaTlSnO3 (PBE)

Data for NaTlSnO3 after structural relaxation.

Unit cell a=6.004 b=11.753 c=5.787 alpha=90.00 beta=90.00 gamma=90.00
Space group Cmcm (No. 63)
Inequivalent atoms, fractional coordinates:
1 Na 0.000 0.079 0.250 x4
2 Tl 0.000 0.241 0.750 x4
3 Sn 0.000 0.444 0.250 x4
4 O 0.000 0.276 0.250 x4
5 O 0.225 0.500 0.000 x8

**Uncorrected formation energy**: -1.35 eV per atom

no.,density (Mg/m³)
1,5.63
2,4.23
3,9.83
4,9.53
5,7.42
6,8.97
7,7.94
8,8.05
9,11.01
10,7.17
11,7.52
12,8.58
13,4.68
14,7.22
15,6.46
16,6.20
17,7.17
18,7.82
19,6.99
20,12.21
21,5.56
22,6.41